# 1
Material: Nb2Fe4Si
Method: DFT, PBE-GGA
State: relaxed

SG ... No. 139
Raw formation energy ... 0.64 eV/atom
Raw total energy ... -54.9 eV/f.u.
Size of the total moment ... 3.3 μB per formula unit

a = 4.051 Å, b = 4.051 Å, c = 7.064 Å
α = 73.34°, β = 73.34°, γ = 90.00°
Positions (direct):
Nb (0.360, 0.360, 0.281)
Nb (0.640, 0.640, 0.719)
Si (0.000, 0.000, 0.000)
Fe (0.171, 0.171, 0.657)
Fe (0.829, 0.829, 0.343)
Fe (0.000, 0.500, 0.000)
Fe (0.500, 0.000, 0.000)

# 2
Material: NbCrGe3
Method: DFT, PBE-GGA
State: relaxed

SG ... No. 221
Raw total energy ... -29.7 eV/f.u.
Formation enthalpy at 0 K ... 769 meV/atom
Size of the total moment ... 3.6 μB per formula unit

a = 4.598 Å, b = 4.598 Å, c = 4.598 Å
α = 90.00°, β = 90.00°, γ = 90.00°
Positions (direct):
Cr (0.000, 0.000, 0.000)
Nb (0.500, 0.500, 0.500)
Ge (0.000, 0.500, 0.000)
Ge (0.000, 0.000, 0.500)
Ge (0.500, 0.000, 0.000)

# 3
Material: SrLa2Tc
Method: DFT, PBE-GGA
State: relaxed

SG ... No. 160
Raw total energy ... -21.2 eV/f.u.
Formation enthalpy at 0 K ... 176 meV/atom
Size of the total moment ... 0.0 μB per formula unit

a = 4.378 Å, b = 4.378 Å, c = 9.370 Å
α = 76.49°, β = 76.49°, γ = 60.00°
Positions (direct):
Sr (0.495, 0.495, 0.516)
La (0.046, 0.046, 0.861)
La (0.283, 0.283, 0.152)
Tc (0.677, 0.677, 0.970)